Material: TlCdTeMo
Method: DFT, PBE
State: optimized geometry

a b c (Å): 3.2500 7.0680 7.0680
angles (deg): 39.03 90.00 90.00
Element x y z (fractional)
Tl1 0.0000 0.0000 0.0000
Cd1 0.0000 0.6583 0.6583
Te1 0.0000 0.3082 0.3082
Mo1 0.5000 0.4689 0.4689

Calculated values
electronic total energy = -4.042 eV per atom
formation energy (no corrections) = 0.27 eV per atom
energy relative to the lowest polymorph listed for this composition = 118 meV per atom
density of states at the Fermi level = 3.075 states/eV/f.u.